Material: Tm2Mg3Au4
Method: DFT, PBE
State: relaxed Values from VASP.

## Properties
VASP energy (eV/atom): -3.649
Space group: C2/m, No. 12
Polymorph energy (0 for the lowest one) (eV per atom): 0.000
E_form (meV per atom): -667

Quantum ESPRESSO input file:
```
&SYSTEM
  ibrav = 0, nat = 9, ntyp = 3
/
ATOMIC_SPECIES
Tm 168.93 Tm.upf
Mg 24.30 Mg.upf
Au 196.97 Au.upf
CELL_PARAMETERS angstrom
4.133 -2.359 0.000
4.133 2.359 0.000
-0.127 0.000 9.588
ATOMIC_POSITIONS angstrom
Tm 1.364 0.000 2.074
Tm 6.774 0.000 7.514
Mg 1.275 0.000 5.556
Mg 4.133 0.000 0.000
Mg 6.863 0.000 4.032
Au 1.250 0.000 8.719
Au 4.007 0.000 6.220
Au 4.131 0.000 3.368
Au 6.888 0.000 0.869
```